## LaEuTh (GGA-PBE)

Data for a relaxed LaEuTh crystal.

```
LaEuTh
1.0
-2.1233 1.3108 -2.6962
-1.2860 -0.1606 3.4375
3.2056 8.4742 1.5953
Eu Th La
1 1 1
Direct
0.0000 0.0000 0.0114
0.6667 0.3333 0.3391
0.3333 0.6667 0.6496
```

**Symmetry**: P3m1, No. 156
**Offset from the most stable computed form**: 0.000 eV/atom
**Energy of formation**: 0.073 eV per atom

---

## TlW2Cl (GGA-PBE)

Data for a relaxed TlW2Cl crystal.

```
TlW2Cl
1.0
0.0000 3.2812 3.2812
3.2812 0.0000 3.2812
3.2812 3.2812 0.0000
Tl W Cl
1 2 1
Direct
0.5000 0.5000 0.5000
0.2500 0.2500 0.2500
0.7500 0.7500 0.7500
0.0000 0.0000 0.0000
```

**Symmetry**: Fm-3m, No. 225
**Offset from the most stable computed form**: 1.235 eV/atom
**Uncorrected formation energy**: 1.526 eV per atom

---

## LiEuHoPt (GGA-PBE)

Data for a relaxed LiEuHoPt crystal.

```
LiEuHoPt
1.0
-4.2736 -0.3180 -2.6552
-2.9266 -4.0840 0.4136
-4.4526 0.3165 2.3429
Eu Ho Pt Li
1 1 1 1
Direct
0.7500 0.7500 0.7500
0.2500 0.2500 0.2500
0.5000 0.5000 0.5000
0.0000 0.0000 0.0000
```

**Symmetry**: F-43m, No. 216
**Energy of formation**: -0.562 eV per atom

---

## RbCaMo3 (GGA-PBE)

Data for a relaxed RbCaMo3 crystal.

```
RbCaMo3
1.0
-4.1334 -1.4891 -2.0166
-1.9042 -0.6641 4.3935
-1.6304 4.5509 -0.0187
Mo Ca Rb
3 1 1
Direct
0.0000 0.5000 0.0000
0.0000 0.0000 0.5000
0.5000 0.0000 0.0000
0.5000 0.5000 0.5000
0.0000 0.0000 0.0000
```

**Symmetry**: Pm-3m, No. 221
**Offset from the most stable computed form**: 0.057 eV/atom
**Energy of formation**: 2.892 eV per atom

---

## Ac2F5 (GGA-PBE)

Data for a relaxed Ac2F5 crystal.

```
Ac2F5
1.0
-5.3392 -1.3848 1.6949
2.3307 -4.0583 4.0263
1.7274 7.0802 1.4036
Ac F
4 10
Direct
0.3828 0.6558 0.7657
0.6172 0.3442 0.2343
0.8828 0.1099 0.7657
0.1172 0.8901 0.2343
0.1047 0.3003 0.2094
0.8953 0.6997 0.7906
0.6047 0.9092 0.2094
0.3953 0.0908 0.7906
0.4888 0.7388 0.4776
0.0112 0.2612 0.5224
0.5112 0.2612 0.5224
0.9888 0.7388 0.4776
0.7500 0.5000 0.0000
0.2500 0.5000 0.0000
```

**Symmetry**: Ibam, No. 72
**Uncorrected formation energy**: -3.829 eV per atom

---

## TiCoHgW2 (GGA-PBE)

Data for a relaxed TiCoHgW2 crystal.

```
TiCoHgW2
1.0
-0.9137 -4.3348 0.8254
4.3060 -0.7290 0.9383
-0.7759 0.9876 4.3278
Co Hg W Ti
1 1 2 1
Direct
0.0000 0.0000 0.0000
0.5000 0.5000 0.5000
0.0000 0.0000 0.5000
0.5000 0.0000 0.0000
0.0000 0.5000 0.0000
```

**Symmetry**: P4/mmm, No. 123
**Energy of formation**: 0.950 eV per atom

---

## RbLiP2N (GGA-PBE)

Data for a relaxed RbLiP2N crystal.

```
RbLiP2N
1.0
-3.3157 -2.7671 -0.4294
1.6124 -1.2838 -4.1774
2.3631 -3.1221 1.8717
P Li Rb N
2 1 1 1
Direct
0.0000 0.0000 0.5000
0.5000 0.0000 0.0000
0.0000 0.5000 0.0000
0.5000 0.5000 0.5000
0.0000 0.0000 0.0000
```

**Symmetry**: P4/mmm, No. 123
**Uncorrected formation energy**: 0.587 eV per atom

---

## Zn5IrRh2 (GGA-PBE)

Data for a relaxed Zn5IrRh2 crystal.

```
Zn5IrRh2
1.0
-3.0762 2.6195 3.3539
-2.7149 -3.8926 -2.2474
4.0840 -2.0192 2.6110
Zn Ir Rh
5 1 2
Direct
0.2782 0.2783 0.5007
0.2782 0.7773 0.0000
0.7777 0.2783 0.0000
0.7774 0.7776 0.4993
0.2772 0.2768 0.0000
0.7786 0.7786 0.0000
0.2779 0.7781 0.5001
0.7778 0.2780 0.4999
```

**Symmetry**: I4mm, No. 107
**Energy of formation**: -0.317 eV per atom

---

## AlRuPb2 (GGA-PBE)

Data for a relaxed AlRuPb2 crystal.

```
AlRuPb2
1.0
7.0454 -0.0121 0.0172
4.8804 5.0813 -0.0172
-5.5845 -3.4247 2.5928
Pb Ru Al
2 1 1
Direct
0.0015 0.0015 0.0000
0.6970 0.1970 0.5000
0.4771 0.4771 0.0000
0.3244 0.8244 0.5000
```

**Symmetry**: Imm2, No. 44
**Energy of formation**: 0.241 eV per atom